1.
This record from Alexandria via LeMat-Bulk describes a relaxed TmMgHgPb crystal. The functional is PBE.

The structure belongs to space group F-43m (No. 216); the cell edges are 7.3531, 7.3531 and 7.3531 Å and the angles 90.00°, 90.00° and 90.00°. The distinct sites, in fractional coordinates, are Tm at (0.0000, 0.0000, 0.0000), Mg at (0.0000, 0.0000, 0.5000), Hg at (0.2500, 0.2500, 0.7500) and Pb at (0.2500, 0.2500, 0.2500).

For the total energy, the calculation gives -2.794 eV per atom. The energy relative to the elements is -275 meV per atom. For the distance to the lowest polymorph of the same formula, the calculation gives 65 meV per atom.

---

2.
This record from Alexandria via LeMat-Bulk describes a relaxed Sm2ErZn crystal. The functional is PBE.

The structure belongs to space group R3m (No. 160, hexagonal axes); the cell edges are 3.6317, 3.6317 and 31.0672 Å and the angles 90.00°, 90.00° and 120.00°. The distinct sites, in fractional coordinates, are Sm at (0.0000, 0.0000, 0.0000), Sm at (0.0000, 0.0000, 0.1863), Er at (0.0000, 0.0000, 0.4265) and Zn at (0.0000, 0.0000, 0.5928).

For the total energy, the calculation gives -3.848 eV per atom. The energy relative to the elements is -30 meV per atom. For the distance to the lowest polymorph of the same formula, the calculation gives 127 meV per atom.

---

3.
This record from Alexandria via LeMat-Bulk describes a relaxed CaSnB crystal. The functional is PBE.

The structure belongs to space group Cm (No. 8); the cell edges are 12.0891, 3.7891 and 7.5714 Å and the angles 90.00°, 126.52° and 90.00°. The distinct sites, in fractional coordinates, are Ca at (0.0000, 0.0000, 0.0000), Ca at (0.0659, 0.0000, 0.5795), Sn at (0.2459, 0.5000, 0.4605), Sn at (0.2708, 0.5000, 0.0848), B at (0.0520, 0.5000, 0.8139) and B at (0.3930, 0.0000, 0.6419).

For the total energy, the calculation gives -4.336 eV per atom. The energy relative to the elements is -108 meV per atom. For the distance to the lowest polymorph of the same formula, the calculation gives 58 meV per atom.

---

4.
This record from Alexandria via LeMat-Bulk describes a relaxed Ca2NdCd2 crystal. The functional is PBE.

The structure belongs to space group P2_1/m (No. 11); the cell edges are 5.9005, 3.7275 and 14.4386 Å and the angles 90.00°, 94.35° and 90.00°. The distinct sites, in fractional coordinates, are Ca at (0.1657, 0.2500, 0.1178), Ca at (0.2546, 0.7500, 0.5268), Nd at (0.3088, 0.2500, 0.7513), Cd at (0.2211, 0.2500, 0.3385) and Cd at (0.3441, 0.7500, 0.9424).

For the total energy, the calculation gives -2.258 eV per atom. The energy relative to the elements is -138 meV per atom. For the distance to the lowest polymorph of the same formula, the calculation gives 93 meV per atom.

---

5.
This record from Alexandria via LeMat-Bulk describes a relaxed Sm8GaTe4Se3 crystal. The functional is PBE.

The structure belongs to space group R-3m (No. 166, hexagonal axes); the cell edges are 8.5681, 8.5681 and 21.6653 Å and the angles 90.00°, 90.00° and 120.00°. The distinct sites, in fractional coordinates, are Sm at (0.0000, 0.0000, 0.2400), Sm at (0.0059, 0.5030, 0.2408), Ga at (0.0000, 0.0000, 0.5000), Te at (0.0000, 0.0000, 0.0000), Te at (0.0000, 0.5000, 0.0000) and Se at (0.0000, 0.5000, 0.5000).

The raw formation energy is -1.490 eV per atom. For the total energy, the calculation gives -5.478 eV per atom.

---

6.
This record from Alexandria via LeMat-Bulk describes a relaxed YFePS2 crystal. The functional is PBE.

The structure belongs to space group P4/mmm (No. 123); the cell edges are 5.1460, 5.1460 and 5.3100 Å and the angles 90.00°, 90.00° and 90.00°. The distinct sites, in fractional coordinates, are Y at (0.0000, 0.0000, 0.0000), Fe at (0.5000, 0.5000, 0.5000), P at (0.0000, 0.0000, 0.5000) and S at (0.0000, 0.5000, 0.0000).

The raw formation energy is 0.496 eV per atom. For the total energy, the calculation gives -5.222 eV per atom. For the distance to the lowest polymorph of the same formula, the calculation gives 1011 meV per atom.

---

no.,Fermi-level density of states (states/eV/f.u.)
1,1.9
2,5.7
3,1.0
4,4.7
5,7.8
6,7.7